1.
A geometry-optimized PmSm2NpO8 structure, computed with PBE.

Calculated values
The raw formation energy is -3.143 eV/atom.

a b c (Å): 3.9522 7.5769 5.5123
angles (deg): 90.00 94.37 90.00
Closest atoms and distances in Å follow each position.
Space group P2/m (No. 10)
Asymmetric unit:
Pm  0.0000  0.0000  0.0000  8 O 2.35-2.51
Sm  0.5000  0.2432  0.5000  8 O 2.29-2.49
Np  0.0000  0.5000  0.0000  6 O 2.06-2.10
O  0.0311  0.2826  0.7662  1 Np 2.10
O  0.4481  0.5000  0.2183  1 Np 2.06
O  0.4947  0.0000  0.7460  2 Sm 2.29, 2 Pm 2.35-2.49


2.
A geometry-optimized PmNpSnO6 structure, computed with PBE.

Calculated values
The raw formation energy is -2.461 eV/atom.

a b c (Å): 5.7404 5.7404 9.0404
angles (deg): 90.00 90.00 120.00
Closest atoms and distances in Å follow each position.
Space group P-31c (No. 163)
Asymmetric unit:
Pm  0.3333  0.6667  0.2500  6 O 2.37
Np  0.3333  0.6667  0.7500  6 O 2.14
Sn  0.0000  0.0000  0.0000  6 O 2.17
O  0.0309  0.3363  0.6251  1 Np 2.14, 1 Sn 2.17, 1 Pm 2.37


3.
A geometry-optimized SrPm2NpO6 structure, computed with PBE.

Calculated values
The raw formation energy is -3.132 eV/atom.

a b c (Å): 6.0720 6.0720 15.6668
angles (deg): 90.00 90.00 120.00
Closest atoms and distances in Å follow each position.
Space group R3 (No. 146, hexagonal axes)
Asymmetric unit:
Sr  0.0000  0.0000  0.0000  6 O 2.48-2.64
Pm  0.0000  0.0000  0.2710  6 O 2.34-2.48
Pm  0.0000  0.0000  0.7785  6 O 2.32-2.46
Np  0.0000  0.0000  0.4856  6 O 2.25-2.27
O  0.0224  0.7393  0.3886  1 Np 2.25, 2 Pm 2.32-2.48, 1 Sr 2.48
O  0.0316  0.3541  0.5470  1 Np 2.27, 2 Pm 2.34-2.46


4.
A geometry-optimized SrPmNpO6 structure, computed with PBE.

Calculated values
The raw formation energy is -2.954 eV/atom.

a b c (Å): 5.9718 5.9718 9.9364
angles (deg): 90.00 90.00 120.00
Closest atoms and distances in Å follow each position.
Space group P-31c (No. 163)
Asymmetric unit:
Sr  0.0000  0.0000  0.0000  6 O 2.60
Pm  0.3333  0.6667  0.2500  6 O 2.35
Np  0.3333  0.6667  0.7500  6 O 2.03
O  0.0394  0.3851  0.6412  1 Np 2.03


What is the formula in the fourth record?
SrPmNpO6